Here is NbAgRh2 after structural relaxation from Alexandria. Energies are from PBE.

Summary:
calculated density = 9.6 g/cm³
VASP energy = -6.7518 eV/atom

The structure in CIF format:
```
data_NbAgRh2
_cell_length_a 7.048
_cell_length_b 7.048
_cell_length_c 5.692
_cell_angle_alpha 90.00
_cell_angle_beta 90.00
_cell_angle_gamma 90.00
_symmetry_space_group_name_H-M 'I -4 2 d'
_symmetry_Int_Tables_number 122
_symmetry_space_group_name_Hall 'I -4 2bw'
loop_
_atom_site_label
_atom_site_type_symbol
_atom_site_fract_x
_atom_site_fract_y
_atom_site_fract_z
Nb1 Nb 0.000 0.000 0.000
Ag1 Ag 0.000 0.000 0.500
Rh1 Rh 0.221 0.250 0.125
```


Here is BaEuZnPt after structural relaxation from Alexandria. Energies are from PBE.

Summary:
calculated density = 8.2 g/cm³
VASP energy = -5.3147 eV/atom

The structure in CIF format:
```
data_BaEuZnPt
_cell_length_a 7.624
_cell_length_b 7.624
_cell_length_c 7.624
_cell_angle_alpha 90.00
_cell_angle_beta 90.00
_cell_angle_gamma 90.00
_symmetry_space_group_name_H-M 'F -4 3 m'
_symmetry_Int_Tables_number 216
_symmetry_space_group_name_Hall 'F -4 2 3'
loop_
_atom_site_label
_atom_site_type_symbol
_atom_site_fract_x
_atom_site_fract_y
_atom_site_fract_z
Ba1 Ba 0.000 0.000 0.000
Eu1 Eu 0.000 0.000 0.500
Zn1 Zn 0.250 0.250 0.750
Pt1 Pt 0.250 0.250 0.250
```